(1)
## SiMo2Pb (PBEsol)

Data for a relaxed SiMo2Pb crystal.

```
SiMo2Pb
1.0
-2.754 1.267 -0.483
-1.194 0.046 -2.827
-4.937 -6.897 0.307
Mo Pb Si
2 1 1
Cartesian
-2.326 -1.608 -0.710 Mo
-6.559 -3.977 -2.293 Mo
0.000 0.000 0.000 Pb
-4.443 -2.792 -1.501 Si
```

distance to the lowest polymorph of the same formula: 0.311 eV/atom
space group: R-3m
ΔE_f (raw): 434 meV/atom



(2)
## Sr2ScNi (PBEsol)

Data for a relaxed Sr2ScNi crystal.

```
Sr2ScNi
1.0
-3.149 1.326 -0.996
-1.659 -2.491 1.926
0.052 5.512 7.174
Sr Sc Ni
2 1 1
Cartesian
0.010 1.059 1.378 Sr
0.042 4.453 5.795 Sr
-2.377 2.174 4.052 Sc
-2.404 -0.582 0.465 Ni
```

distance to the lowest polymorph of the same formula: 0.000 eV/atom
space group: P4/mmm
formation enthalpy at 0 K: 0.32 eV per atom



(3)
## LiZnCu2 (PBEsol)

Data for a relaxed LiZnCu2 crystal.

```
LiZnCu2
1.0
-0.376 -2.085 3.479
-2.721 -3.017 0.282
1.261 -3.868 0.203
Zn Cu Li
1 2 1
Cartesian
-0.459 -2.242 0.991 Zn
-1.377 -6.727 2.973 Cu
0.000 0.000 0.000 Cu
-0.918 -4.485 1.982 Li
```

space group: F-43m
formation enthalpy at 0 K: -0.09 eV per atom



(4)
## LiTaCo (PBEsol)

Data for a relaxed LiTaCo crystal.

```
LiTaCo
1.0
-2.254 -0.667 1.483
2.467 0.248 1.256
-1.179 6.345 1.063
Co Ta Li
1 1 1
Cartesian
-0.005 0.029 0.005 Co
-1.038 1.563 1.730 Ta
0.078 4.333 2.067 Li
```

space group: P3m1
formation enthalpy at 0 K: 0.33 eV per atom



(5)
## CuP3O9 (PBEsol)

Data for a relaxed CuP3O9 crystal.

```
CuP3O9
1.0
8.235 0.000 0.000
0.000 8.409 0.000
0.000 0.000 8.456
Cu P O
4 12 36
Cartesian
5.221 5.413 7.208 Cu
1.104 7.200 1.249 Cu
3.014 1.208 5.477 Cu
7.131 2.996 2.980 Cu
2.382 1.602 0.414 P
3.864 5.722 1.577 P
6.794 8.305 2.605 P
4.370 1.518 2.651 P
1.735 6.806 4.642 P
1.441 4.101 1.623 P
6.500 2.602 8.042 P
5.559 0.103 6.833 P
5.853 5.807 3.814 P
0.253 2.686 5.805 P
7.982 6.890 6.879 P
2.676 4.307 5.851 P
7.388 7.585 1.421 O
4.964 0.823 5.649 O
3.021 6.864 1.074 O
1.097 1.545 5.302 O
7.348 3.135 4.925 O
7.854 2.320 7.215 O
2.943 4.493 2.030 O
3.391 3.124 5.272 O
1.721 3.066 0.431 O
0.726 5.285 1.043 O
5.292 0.289 2.198 O
2.397 5.342 4.659 O
5.004 5.274 0.697 O
4.844 7.328 7.413 O
7.509 1.080 3.185 O
3.231 1.070 3.532 O
2.660 7.695 5.429 O
0.886 7.339 7.760 O
2.796 1.290 7.476 O
1.175 3.915 6.258 O
7.060 8.120 6.426 O
0.847 3.381 2.807 O
7.138 5.749 7.383 O
3.737 1.884 1.242 O
5.575 3.491 7.256 O
5.838 1.138 8.026 O
6.913 2.914 0.981 O
3.271 5.028 7.035 O
6.514 7.270 3.797 O
1.322 7.118 3.248 O
4.498 6.088 2.987 O
5.214 2.659 3.154 O
0.381 6.525 5.470 O
6.777 4.918 3.027 O
5.439 5.495 5.209 O
1.458 0.713 1.201 O
```

distance to the lowest polymorph of the same formula: 0.000 eV/atom
space group: P2_12_12_1
ΔE_f (raw): -1722 meV/atom



(6)
## Fe4TcRh (PBEsol)

Data for a relaxed Fe4TcRh crystal.

```
Fe4TcRh
1.0
-4.128 0.777 1.875
-3.815 -0.661 -2.483
-2.789 -3.528 0.964
Fe Rh Tc
4 1 1
Cartesian
-5.313 -0.371 -0.259 Fe
-6.705 -2.131 0.222 Fe
-4.802 -1.802 1.461 Fe
-4.646 -2.519 -0.713 Fe
-2.683 -0.853 0.089 Rh
0.000 0.000 0.000 Tc
```

space group: F-43m
formation enthalpy at 0 K: 0.00 eV per atom



(7)
## LaAlCd (PBEsol)

Data for a relaxed LaAlCd crystal.

```
LaAlCd
1.0
4.883 0.000 0.000
2.441 4.228 0.000
2.441 1.409 3.987
La Cd Al
1 1 1
Cartesian
0.000 0.000 0.000 La
2.441 1.409 0.997 Cd
4.883 2.819 1.993 Al
```

space group: F-43m
formation enthalpy at 0 K: -0.20 eV per atom



(8)
## BaCa2In (PBEsol)

Data for a relaxed BaCa2In crystal.

```
BaCa2In
1.0
-1.297 -3.053 -2.234
4.863 -3.338 1.740
-5.009 1.027 5.084
Ba Ca In
1 2 1
Cartesian
-0.648 -1.527 -1.117 Ba
0.464 -4.083 1.732 Ca
-1.906 -1.281 2.858 Ca
2.432 -1.669 0.870 In
```

space group: Immm
formation enthalpy at 0 K: -0.23 eV per atom



(9)
## SrNiBr2 (PBEsol)

Data for a relaxed SrNiBr2 crystal.

```
SrNiBr2
1.0
4.117 0.000 0.000
0.000 4.117 0.000
0.000 0.000 6.008
Sr Br Ni
1 2 1
Cartesian
2.058 2.058 4.650 Sr
0.000 0.000 5.394 Br
2.058 2.058 1.796 Br
0.000 0.000 3.182 Ni
```

distance to the lowest polymorph of the same formula: 0.006 eV/atom
space group: P4mm
ΔE_f (raw): -721 meV/atom



(10)
## TlAg2Hg (PBEsol)

Data for a relaxed TlAg2Hg crystal.

```
TlAg2Hg
1.0
-2.680 -1.634 -0.074
1.234 -2.111 1.969
-2.778 4.271 6.322
Ag Tl Hg
2 1 1
Cartesian
-2.043 3.141 4.649 Ag
-0.735 1.130 1.673 Ag
-0.723 -1.873 0.948 Tl
-2.112 0.263 4.108 Hg
```

space group: P4/mmm
formation enthalpy at 0 K: 0.10 eV per atom



(11)
## AlCdNi2 (PBEsol)

Data for a relaxed AlCdNi2 crystal.

```
AlCdNi2
1.0
-0.209 -2.734 3.209
1.248 -3.994 -0.546
3.543 -1.373 1.836
Ni Al Cd
2 1 1
Cartesian
3.437 -6.076 3.374 Ni
0.000 0.000 0.000 Ni
2.291 -4.051 2.249 Al
1.146 -2.025 1.125 Cd
```

space group: F-43m
formation enthalpy at 0 K: -0.06 eV per atom



(12)
## Li2LaMn (PBEsol)

Data for a relaxed Li2LaMn crystal.

```
Li2LaMn
1.0
-2.299 1.621 2.235
-2.651 -2.109 -1.197
1.349 -4.221 4.450
La Mn Li
1 1 2
Cartesian
-1.800 -2.354 2.744 La
-2.475 -0.244 0.519 Mn
1.087 -3.402 3.586 Li
0.262 -0.819 0.863 Li
```

distance to the lowest polymorph of the same formula: 0.068 eV/atom
space group: P4/mmm
formation enthalpy at 0 K: 0.48 eV per atom



(13)
## NiMoW2 (PBEsol)

Data for a relaxed NiMoW2 crystal.

```
NiMoW2
1.0
-1.894 -3.071 -1.438
2.602 -0.329 -2.725
2.089 -2.356 2.279
Mo W Ni
1 2 1
Cartesian
0.354 -1.700 -2.082 Mo
0.097 -2.713 0.420 W
0.000 0.000 0.000 W
2.345 -1.342 -0.223 Ni
```

distance to the lowest polymorph of the same formula: 0.000 eV/atom
space group: P4/mmm
formation enthalpy at 0 K: 0.15 eV per atom



(14)
## BeHg2Br (PBEsol)

Data for a relaxed BeHg2Br crystal.

```
BeHg2Br
1.0
-1.451 -2.398 -1.440
2.704 -0.787 -1.414
1.925 -5.072 6.506
Hg Be Br
2 1 1
Cartesian
1.215 -3.143 0.562 Hg
0.034 -0.089 0.115 Hg
0.982 -2.587 3.319 Be
1.910 -4.973 2.910 Br
```

distance to the lowest polymorph of the same formula: 0.121 eV/atom
space group: P4mm
ΔE_f (raw): 185 meV/atom



(15)
## YCuW (PBEsol)

Data for a relaxed YCuW crystal.

```
YCuW
1.0
-0.449 2.402 1.735
0.778 -1.874 2.796
4.855 1.048 -2.783
W Cu Y
1 1 1
Cartesian
1.549 0.626 2.122 W
0.270 0.071 -0.028 Cu
3.366 0.880 -0.347 Y
```

space group: Imm2
formation enthalpy at 0 K: 0.45 eV per atom



(16)
## Li4CaMg (PBEsol)

Data for a relaxed Li4CaMg crystal.

```
Li4CaMg
1.0
-1.827 5.250 1.567
-5.474 1.563 -0.975
-3.669 0.580 4.423
Li Mg Ca
4 1 1
Cartesian
-5.941 3.072 4.069 Li
-5.033 5.374 2.662 Li
-6.831 3.556 1.409 Li
-4.133 2.786 1.889 Li
-8.227 5.545 3.761 Mg
0.000 0.000 0.000 Ca
```

space group: F-43m
formation enthalpy at 0 K: -0.03 eV per atom



(17)
## AlFeOs2 (PBEsol)

Data for a relaxed AlFeOs2 crystal.

```
AlFeOs2
1.0
2.961 0.000 0.000
0.000 4.182 0.000
0.000 0.000 4.182
Fe Al Os
1 1 2
Cartesian
1.481 0.000 0.000 Fe
1.481 2.091 2.091 Al
0.000 2.091 0.000 Os
0.000 0.000 2.091 Os
```

space group: P4/mmm
formation enthalpy at 0 K: -0.11 eV per atom



(18)
## LaSc2 (PBEsol)

Data for a relaxed LaSc2 crystal.

```
LaSc2
1.0
-1.488 0.913 -2.914
2.774 -3.773 -2.599
-5.734 -6.249 2.952
Sc La
4 2
Cartesian
-4.367 -5.909 -1.601 Sc
-4.305 -3.849 0.993 Sc
-0.032 -2.033 -2.601 Sc
-1.570 -4.530 -0.617 Sc
-2.911 -1.481 -0.957 La
-0.004 -0.003 0.001 La
```

distance to the lowest polymorph of the same formula: 0.032 eV/atom
space group: Amm2
formation enthalpy at 0 K: 0.09 eV per atom



(19)
## LiCrPt2 (PBEsol)

Data for a relaxed LiCrPt2 crystal.

```
LiCrPt2
1.0
-0.289 -2.964 2.505
3.513 2.683 0.557
-0.238 2.521 2.955
Pt Li Cr
2 1 1
Cartesian
1.625 1.230 1.644 Pt
1.361 1.009 4.374 Pt
-0.264 -0.222 2.730 Li
0.000 0.000 0.000 Cr
```

space group: I4/mmm
formation enthalpy at 0 K: -0.32 eV per atom



(20)
## BeNi2Au (PBEsol)

Data for a relaxed BeNi2Au crystal.

```
BeNi2Au
1.0
-2.346 -1.058 -0.606
-1.565 -0.932 1.917
-4.603 6.266 1.113
Au Be Ni
1 1 2
Cartesian
-4.257 2.138 1.211 Au
0.000 0.000 0.000 Be
-6.518 3.486 1.844 Ni
-1.996 0.791 0.579 Ni
```

space group: R-3m
formation enthalpy at 0 K: 0.00 eV per atom



(21)
## ZrTcRh2Pb (PBEsol)

Data for a relaxed ZrTcRh2Pb crystal.

```
ZrTcRh2Pb
1.0
4.751 0.000 0.000
0.000 4.751 0.000
0.000 0.000 4.878
Rh Zr Tc Pb
2 1 1 1
Cartesian
0.000 2.376 0.000 Rh
2.376 0.000 0.000 Rh
2.376 2.376 2.439 Zr
0.000 0.000 2.439 Tc
0.000 0.000 0.000 Pb
```

space group: P4/mmm
formation enthalpy at 0 K: 1.49 eV per atom



(22)
## Ag2PPt (PBEsol)

Data for a relaxed Ag2PPt crystal.

```
Ag2PPt
1.0
3.749 0.000 0.000
0.000 3.749 0.000
-1.875 -1.875 4.393
P Ag Pt
1 2 1
Cartesian
1.875 1.875 0.000 P
1.875 0.000 2.197 Ag
0.000 1.875 2.197 Ag
0.000 0.000 0.000 Pt
```

space group: I4/mmm
formation enthalpy at 0 K: 0.12 eV per atom



(23)
## GaSbC2O (PBEsol)

Data for a relaxed GaSbC2O crystal.

```
GaSbC2O
1.0
3.955 0.000 0.000
0.000 3.955 0.000
0.000 0.000 4.279
Sb Ga C O
1 1 2 1
Cartesian
0.000 0.000 2.139 Sb
1.978 1.978 2.139 Ga
1.978 0.000 0.000 C
0.000 1.978 0.000 C
0.000 0.000 0.000 O
```

space group: P4/mmm
ΔE_f (raw): 2007 meV/atom



(24)
## K2As (PBEsol)

Data for a relaxed K2As crystal.

```
K2As
1.0
-0.576 -1.257 -3.165
-4.432 -1.870 1.550
0.217 5.901 -0.499
K As
2 1
Cartesian
-0.993 0.708 -1.985 K
-3.798 2.066 -0.129 K
-2.216 -0.935 0.775 As
```

space group: Immm
formation enthalpy at 0 K: -0.21 eV per atom



(25)
## Be2GaIr2 (PBEsol)

Data for a relaxed Be2GaIr2 crystal.

```
Be2GaIr2
1.0
-1.875 -1.971 0.645
-0.722 -1.346 -6.209
4.688 -4.330 0.394
Be Ir Ga
4 4 2
Cartesian
2.272 -3.870 -5.219 Be
3.851 -4.322 -2.012 Be
0.115 -1.355 -3.802 Be
1.694 -1.807 -0.596 Be
-0.005 -3.510 -4.678 Ir
-0.358 -2.177 -1.634 Ir
2.096 -4.137 -0.491 Ir
2.449 -5.470 -3.535 Ir
0.000 0.000 0.000 Ga
1.983 -2.838 -2.907 Ga
```

space group: P4/mbm
formation enthalpy at 0 K: -0.44 eV per atom



(26)
## SiAsPtI2 (PBEsol)

Data for a relaxed SiAsPtI2 crystal.

```
SiAsPtI2
1.0
4.506 0.000 0.000
0.000 5.487 0.000
0.000 0.000 5.487
Si I As Pt
1 2 1 1
Cartesian
2.253 0.000 0.000 Si
0.000 2.744 0.000 I
0.000 0.000 2.744 I
2.253 2.744 2.744 As
0.000 0.000 0.000 Pt
```

space group: P4/mmm
ΔE_f (raw): 585 meV/atom



(27)
## Na2SI2 (PBEsol)

Data for a relaxed Na2SI2 crystal.

```
Na2SI2
1.0
-1.255 -2.465 -3.338
7.842 -1.180 -2.077
0.272 -6.640 4.801
Na S I
4 2 4
Cartesian
0.728 -5.727 1.140 Na
2.156 -2.643 -1.674 Na
4.703 -7.642 1.060 Na
6.131 -4.558 -1.755 Na
0.000 0.000 0.000 S
4.057 -3.910 1.362 S
5.297 -1.916 -0.576 I
1.420 -2.394 1.234 I
2.817 -5.904 3.301 I
6.695 -5.426 1.490 I
```

space group: P4/mbm
ΔE_f (raw): -538 meV/atom



Number 1: theoretical density 10.473 Mg/m³. Number 2: theoretical density 4.042 Mg/m³. Number 3: theoretical density 6.932 Mg/m³. Number 4: theoretical density 9.369 Mg/m³. Number 5: theoretical density 3.408 Mg/m³. Number 6: theoretical density 10.237 Mg/m³. Number 7: theoretical density 5.615 Mg/m³. Number 8: theoretical density 3.616 Mg/m³. Number 9: theoretical density 4.992 Mg/m³. Number 10: theoretical density 12.880 Mg/m³. Number 11: theoretical density 8.022 Mg/m³. Number 12: theoretical density 4.256 Mg/m³. Number 13: theoretical density 15.191 Mg/m³. Number 14: theoretical density 9.674 Mg/m³. Number 15: theoretical density 10.346 Mg/m³. Number 16: theoretical density 1.123 Mg/m³. Number 17: theoretical density 14.856 Mg/m³. Number 18: theoretical density 4.737 Mg/m³. Number 19: theoretical density 14.051 Mg/m³. Number 20: theoretical density 11.513 Mg/m³. Number 21: theoretical density 9.082 Mg/m³. Number 22: theoretical density 11.880 Mg/m³. Number 23: theoretical density 5.743 Mg/m³. Number 24: theoretical density 2.870 Mg/m³. Number 25: theoretical density 13.719 Mg/m³. Number 26: theoretical density 6.755 Mg/m³. Number 27: theoretical density 3.782 Mg/m³.